A plane-wave DFT calculation with PBE-GGA was carried out for a geometry-optimized Mg5Tl2Sn2 structure.

a = 7.969 Å, b = 7.969 Å, c = 6.151 Å
α = 105.84°, β = 105.84°, γ = 37.19°
Element x y z (fractional)
Mg1 0.000 0.000 0.000
Mg2 0.206 0.206 0.304
Mg3 0.390 0.390 0.077
Mg4 0.610 0.610 0.923
Mg5 0.794 0.794 0.696
Tl1 0.178 0.178 0.775
Tl2 0.822 0.822 0.225
Sn1 0.413 0.413 0.611
Sn2 0.587 0.587 0.389

## Properties
ΔE_f = -0.0330 eV per atom
N(E_F) = 0.394 states/eV/atom
Total energy = -21.0 eV for the cell shown
Magnetic moment = 0.00 Bohr magnetons per cell